A plane-wave DFT calculation with PBE was carried out for a relaxed structure of Zn3OsS. Values from VASP.

Cell and atoms, written as Quantum ESPRESSO input:
```
&SYSTEM
  ibrav = 0, nat = 5, ntyp = 3
/
ATOMIC_SPECIES
Zn 65.41 Zn.upf
Os 190.23 Os.upf
S 32.06 S.upf
ATOMIC_POSITIONS angstrom
Zn 0.000 0.000 2.236
Zn 0.000 2.236 0.000
Zn 2.236 0.000 0.000
Os 2.236 2.236 2.236
S 0.000 0.000 0.000
CELL_PARAMETERS angstrom
4.471 0.000 0.000
0.000 4.471 0.000
0.000 0.000 4.471
```

Output
energy above the lowest structure with this stoichiometry	131.3	meV/atom
raw total energy	-13.653	eV per cell